*P*
CeSm3Hg2: optimized geometry, GGA-PBE.

It has space group P4/mmm (No. 123), with a = 3.686 Å, b = 3.686 Å, c = 12.553 Å, α = 90.00°, β = 90.00° and γ = 90.00°. The distinct sites, in fractional coordinates, are Ce at (0.000, 0.000, 0.000), Sm at (0.500, 0.500, 0.184), Sm at (0.500, 0.500, 0.500) and Hg at (0.000, 0.000, 0.340).

=====

*Q*
CeSm3Hg2: optimized geometry, GGA-PBE.

It has space group Ibam (No. 72), with a = 7.640 Å, b = 14.182 Å, c = 7.544 Å, α = 90.00°, β = 90.00° and γ = 90.00°. The distinct sites, in fractional coordinates, are Ce at (0.000, 0.000, 0.000), Sm at (0.000, 0.226, 0.250), Sm at (0.000, 0.500, 0.250) and Hg at (0.201, 0.359, 0.000).

=====

Energies in eV/atom, measured from the most stable structure: *P* 0.000; *Q* 0.270.

=====

*P*
Ce2SmHg: optimized geometry, GGA-PBE.

It has space group Fm-3m (No. 225), with a = 7.717 Å, b = 7.717 Å, c = 7.717 Å, α = 90.00°, β = 90.00° and γ = 90.00°. The distinct sites, in fractional coordinates, are Ce at (0.250, 0.250, 0.250), Sm at (0.000, 0.000, 0.000) and Hg at (0.000, 0.000, 0.500).

=====

*Q*
Ce2SmHg: optimized geometry, GGA-PBE.

It has space group P2_1/m (No. 11), with a = 4.628 Å, b = 4.289 Å, c = 11.482 Å, α = 90.00°, β = 99.66° and γ = 90.00°. The distinct sites, in fractional coordinates, are Ce at (0.004, 0.250, 0.387), Ce at (0.392, 0.750, 0.386), Sm at (0.301, 0.250, 0.105) and Hg at (0.182, 0.250, 0.829).

=====

Energies in eV/atom, measured from the most stable structure: *P* 0.221; *Q* 0.000.

=====

*P*
Ce2SmHg: optimized geometry, GGA-PBE.

It has space group P4/mmm (No. 123), with a = 4.619 Å, b = 4.619 Å, c = 5.191 Å, α = 90.00°, β = 90.00° and γ = 90.00°. The distinct sites, in fractional coordinates, are Ce at (0.000, 0.500, 0.000), Sm at (0.000, 0.000, 0.500) and Hg at (0.500, 0.500, 0.500).

=====

*Q*
Ce2SmHg: optimized geometry, GGA-PBE.

It has space group P4/mmm (No. 123), with a = 3.451 Å, b = 3.451 Å, c = 9.837 Å, α = 90.00°, β = 90.00° and γ = 90.00°. The distinct sites, in fractional coordinates, are Ce at (0.000, 0.000, 0.230), Sm at (0.500, 0.500, 0.500) and Hg at (0.500, 0.500, 0.000).

=====

Energies in eV/atom, measured from the most stable structure: *P* 0.000; *Q* 0.041.

=====

*P*
CeSm2Hg8: optimized geometry, GGA-PBE.

It has space group C2/m (No. 12), with a = 16.159 Å, b = 5.071 Å, c = 7.345 Å, α = 90.00°, β = 110.22° and γ = 90.00°. The distinct sites, in fractional coordinates, are Ce at (0.000, 0.000, 0.000), Sm at (0.209, 0.500, 0.650), Hg at (0.023, 0.500, 0.727), Hg at (0.095, 0.000, 0.460), Hg at (0.152, 0.500, 0.175) and Hg at (0.174, 0.000, 0.902).

=====

*Q*
CeSm2Hg8: optimized geometry, GGA-PBE.

It has space group Immm (No. 71), with a = 5.221 Å, b = 7.345 Å, c = 15.053 Å, α = 90.00°, β = 90.00° and γ = 90.00°. The distinct sites, in fractional coordinates, are Ce at (0.000, 0.000, 0.000), Sm at (0.000, 0.000, 0.311), Hg at (0.000, 0.210, 0.500), Hg at (0.000, 0.286, 0.151) and Hg at (0.000, 0.500, 0.343).

=====

Energies in eV/atom, measured from the most stable structure: *P* 0.000; *Q* 0.013.

=====

*P*
Ce4SnHg: optimized geometry, GGA-PBE.

It has space group C2/c (No. 15), with a = 17.020 Å, b = 5.625 Å, c = 7.426 Å, α = 90.00°, β = 100.60° and γ = 90.00°. The distinct sites, in fractional coordinates, are Ce at (0.068, 0.091, 0.459), Ce at (0.153, 0.304, 0.089), Sn at (0.000, 0.417, 0.750) and Hg at (0.250, 0.250, 0.500).

=====

*Q*
Ce4SnHg: optimized geometry, GGA-PBE.

It has space group Immm (No. 71), with a = 5.139 Å, b = 6.192 Å, c = 9.347 Å, α = 90.00°, β = 90.00° and γ = 90.00°. The distinct sites, in fractional coordinates, are Ce at (0.000, 0.245, 0.176), Sn at (0.000, 0.000, 0.500) and Hg at (0.000, 0.500, 0.500).

=====

Energies in eV/atom, measured from the most stable structure: *P* 0.021; *Q* 0.000.

=====

*P*
Ce4SnHg3: optimized geometry, GGA-PBE.

It has space group I4/mmm (No. 139), with a = 4.874 Å, b = 4.874 Å, c = 18.083 Å, α = 90.00°, β = 90.00° and γ = 90.00°. The distinct sites, in fractional coordinates, are Ce at (0.000, 0.500, 0.125), Sn at (0.000, 0.000, 0.000), Hg at (0.000, 0.000, 0.250) and Hg at (0.000, 0.000, 0.500).

=====

*Q*
Ce4SnHg3: optimized geometry, GGA-PBE.

It has space group C2/m (No. 12), with a = 14.937 Å, b = 5.478 Å, c = 5.363 Å, α = 90.00°, β = 108.07° and γ = 90.00°. The distinct sites, in fractional coordinates, are Ce at (0.124, 0.000, 0.105), Ce at (0.240, 0.000, 0.789), Sn at (0.000, 0.000, 0.500), Hg at (0.000, 0.500, 0.000) and Hg at (0.129, 0.500, 0.603).

=====

Energies in eV/atom, measured from the most stable structure: *P* 0.000; *Q* 0.171.

=====

*P*
Ce4Sn3Hg: optimized geometry, GGA-PBE.

It has space group C2/m (No. 12), with a = 22.157 Å, b = 4.379 Å, c = 4.707 Å, α = 90.00°, β = 100.96° and γ = 90.00°. The distinct sites, in fractional coordinates, are Ce at (0.106, 0.000, 0.097), Ce at (0.246, 0.500, 0.187), Sn at (0.000, 0.500, 0.000), Sn at (0.140, 0.500, 0.619) and Hg at (0.000, 0.000, 0.500).

=====

*Q*
Ce4Sn3Hg: optimized geometry, GGA-PBE.

It has space group I4/mmm (No. 139), with a = 4.950 Å, b = 4.950 Å, c = 17.940 Å, α = 90.00°, β = 90.00° and γ = 90.00°. The distinct sites, in fractional coordinates, are Ce at (0.000, 0.500, 0.125), Sn at (0.000, 0.000, 0.000), Sn at (0.000, 0.000, 0.250) and Hg at (0.000, 0.000, 0.500).

=====

Energies in eV/atom, measured from the most stable structure: *P* 0.093; *Q* 0.000.

=====

*P*
CeThSnHg: optimized geometry, GGA-PBE.

It has space group P4mm (No. 99), with a = 4.108 Å, b = 4.108 Å, c = 6.663 Å, α = 90.00°, β = 90.00° and γ = 90.00°. The distinct sites, in fractional coordinates, are Ce at (0.000, 0.000, 0.000), Th at (0.000, 0.000, 0.510), Sn at (0.500, 0.500, 0.754) and Hg at (0.500, 0.500, 0.252).

=====

*Q*
CeThSnHg: optimized geometry, GGA-PBE.

It has space group F-43m (No. 216), with a = 7.696 Å, b = 7.696 Å, c = 7.696 Å, α = 90.00°, β = 90.00° and γ = 90.00°. The distinct sites, in fractional coordinates, are Ce at (0.000, 0.000, 0.000), Th at (0.000, 0.000, 0.500), Sn at (0.250, 0.250, 0.250) and Hg at (0.250, 0.250, 0.750).

=====

Energies in eV/atom, measured from the most stable structure: *P* 0.000; *Q* 0.035.

=====

*P*
SrCeHg4: optimized geometry, GGA-PBE.

It has space group P4/mmm (No. 123), with a = 4.037 Å, b = 4.037 Å, c = 10.308 Å, α = 90.00°, β = 90.00° and γ = 90.00°. The distinct sites, in fractional coordinates, are Sr at (0.000, 0.000, 0.000), Ce at (0.500, 0.500, 0.500), Hg at (0.000, 0.000, 0.335) and Hg at (0.500, 0.500, 0.178).

=====

*Q*
SrCeHg4: optimized geometry, GGA-PBE.

It has space group F-43m (No. 216), with a = 8.681 Å, b = 8.681 Å, c = 8.681 Å, α = 90.00°, β = 90.00° and γ = 90.00°. The distinct sites, in fractional coordinates, are Sr at (0.000, 0.000, 0.000), Ce at (0.250, 0.250, 0.750) and Hg at (0.125, 0.125, 0.375).

=====

Energies in eV/atom, measured from the most stable structure: *P* 0.000; *Q* 0.136.

=====

*P*
SrCeHg: optimized geometry, GGA-PBE.

It has space group R-3m (No. 166, hexagonal axes), with a = 4.1933 Å, b = 4.1933 Å, c = 41.1013 Å, α = 90.00°, β = 90.00° and γ = 120.00°. The distinct sites, in fractional coordinates, are Sr at (0.0000, 0.0000, 0.1223), Ce at (0.0000, 0.0000, 0.3491) and Hg at (0.0000, 0.0000, 0.2647).

=====

*Q*
SrCeHg: optimized geometry, GGA-PBE.

It has space group P3m1 (No. 156), with a = 5.3742 Å, b = 5.3742 Å, c = 4.1035 Å, α = 90.00°, β = 90.00° and γ = 120.00°. The distinct sites, in fractional coordinates, are Sr at (0.0000, 0.0000, 0.0000), Ce at (0.3333, 0.6667, 0.4592) and Hg at (0.6667, 0.3333, 0.6366).

=====

*R*
SrCeHg: optimized geometry, GGA-PBE.

It has space group I4mm (No. 107), with a = 3.857 Å, b = 3.857 Å, c = 14.013 Å, α = 90.00°, β = 90.00° and γ = 90.00°. The distinct sites, in fractional coordinates, are Sr at (0.000, 0.000, 0.000), Ce at (0.000, 0.000, 0.281) and Hg at (0.000, 0.000, 0.653).

=====

Energies in eV/atom, measured from the most stable structure: *P* 0.000; *Q* 0.183; *R* 0.028.

=====

*P*
TbCeHg2: optimized geometry, GGA-PBE.

It has space group P4/mmm (No. 123), with a = 3.721 Å, b = 3.721 Å, c = 7.814 Å, α = 90.00°, β = 90.00° and γ = 90.00°. The distinct sites, in fractional coordinates, are Tb at (0.000, 0.000, 0.000), Ce at (0.000, 0.000, 0.500) and Hg at (0.500, 0.500, 0.233).

=====

*Q*
TbCeHg2: optimized geometry, GGA-PBE.

It has space group Fm-3m (No. 225), with a = 7.571 Å, b = 7.571 Å, c = 7.571 Å, α = 90.00°, β = 90.00° and γ = 90.00°. The distinct sites, in fractional coordinates, are Tb at (0.000, 0.000, 0.000), Ce at (0.000, 0.000, 0.500) and Hg at (0.250, 0.250, 0.250).

=====

*R*
TbCeHg2: optimized geometry, GGA-PBE.

It has space group R-3m (No. 166, hexagonal axes), with a = 3.6745 Å, b = 3.6745 Å, c = 29.3148 Å, α = 90.00°, β = 90.00° and γ = 120.00°. The distinct sites, in fractional coordinates, are Tb at (0.0000, 0.0000, 0.0000), Ce at (0.0000, 0.0000, 0.5000) and Hg at (0.0000, 0.0000, 0.2533).

=====

Energies in eV/atom, measured from the most stable structure: *P* 0.000; *Q* 0.012; *R* 0.148.

=====

*P*
Tb2CeHg4: optimized geometry, GGA-PBE.

It has space group R-3m (No. 166, hexagonal axes), with a = 4.9736 Å, b = 4.9736 Å, c = 26.9034 Å, α = 90.00°, β = 90.00° and γ = 120.00°. The distinct sites, in fractional coordinates, are Tb at (0.0000, 0.0000, 0.1243), Ce at (0.0000, 0.0000, 0.0000), Hg at (0.0000, 0.0000, 0.2482) and Hg at (0.0000, 0.0000, 0.3949).

=====

*Q*
Tb2CeHg4: optimized geometry, GGA-PBE.

It has space group P4/mmm (No. 123), with a = 5.262 Å, b = 5.262 Å, c = 7.239 Å, α = 90.00°, β = 90.00° and γ = 90.00°. The distinct sites, in fractional coordinates, are Tb at (0.000, 0.000, 0.000), Tb at (0.500, 0.500, 0.500), Ce at (0.000, 0.000, 0.500) and Hg at (0.000, 0.500, 0.232).

=====

Energies in eV/atom, measured from the most stable structure: *P* 0.012; *Q* 0.000.